Material: BePHO2
Method: DFT, GGA-PBE
State: relaxed

As for the total magnetization: 0.7 μB per formula unit. The total energy comes out at -0.323 Ry/atom.

The structure belongs to space group P4/mmm (No. 123); the cell edges are 3.127, 3.127 and 5.419 Å and the angles 90.00°, 90.00° and 90.00°. The distinct sites, in fractional coordinates, are Be at (0.000, 0.000, 0.000), P at (0.000, 0.000, 0.500), H at (0.500, 0.500, 0.500) and O at (0.000, 0.500, 0.000).